Record 1
Entry from Alexandria: an optimized crystal structure of La2SnRhN (GGA-PBE).

E_tot = -6.67 eV/atom
Space-group type = P4/mmm

```
La2SnRhN
1.0
5.377 0.000 0.000
0.000 5.377 0.000
0.000 0.000 3.956
La Sn Rh N
2 1 1 1
Cartesian
0.000 2.689 0.000
2.689 0.000 0.000
0.000 0.000 1.978
2.689 2.689 1.978
2.689 2.689 0.000
```


Record 2
Entry from Alexandria: an optimized crystal structure of LaTb2RhN4 (GGA-PBE).

E_tot = -7.83 eV/atom
Space-group type = Cmcm

```
LaTb2RhN4
1.0
1.734 -5.948 0.000
1.734 5.948 0.000
0.000 0.000 11.629
La Tb Rh N
2 4 2 8
Cartesian
1.734 4.630 8.721
1.734 -4.630 2.907
1.734 1.546 6.340
1.734 1.546 11.103
1.734 -1.546 0.525
1.734 -1.546 5.289
1.734 4.160 2.907
1.734 -4.160 8.721
0.000 0.000 0.000
0.000 0.000 5.814
1.734 2.730 1.468
1.734 2.730 4.346
1.734 0.641 8.721
1.734 -0.641 2.907
1.734 -2.730 7.283
1.734 -2.730 10.160
```


Record 3
Entry from Alexandria: an optimized crystal structure of LaTeRhN2 (GGA-PBE).

E_tot = -5.36 eV/atom
Offset from the most stable computed form = 60.22 kJ per mole of atoms
Space-group type = P4/mmm

```
LaTeRhN2
1.0
4.098 0.000 0.000
0.000 4.098 0.000
0.000 0.000 6.989
La Te Rh N
1 1 1 2
Cartesian
0.000 0.000 0.000
0.000 0.000 3.495
2.049 2.049 3.495
0.000 2.049 0.000
2.049 0.000 0.000
```


Record 4
Entry from Alexandria: an optimized crystal structure of LaTe2RhN (GGA-PBE).

E_tot = -4.61 eV/atom
Offset from the most stable computed form = 112.26 kJ per mole of atoms
Space-group type = P4/mmm

```
LaTe2RhN
1.0
6.279 0.000 0.000
0.000 6.279 0.000
0.000 0.000 3.943
La Te Rh N
1 2 1 1
Cartesian
0.000 0.000 0.000
0.000 3.140 0.000
3.140 0.000 0.000
3.140 3.140 1.972
0.000 0.000 1.972
```